1.
! ErPaAgOs, relaxed, DFT PBE; values from VASP
&SYSTEM
  ibrav = 0, nat = 4, ntyp = 4
/
ATOMIC_SPECIES
Er 167.26 Er.upf
Pa 231.04 Pa.upf
Ag 107.87 Ag.upf
Os 190.23 Os.upf
ATOMIC_POSITIONS angstrom
Er 0.000 0.000 0.000
Pa 3.505 3.505 3.505
Ag 1.752 1.752 1.752
Os 5.257 5.257 5.257
CELL_PARAMETERS angstrom
0.000 3.505 3.505
3.505 0.000 3.505
3.505 3.505 0.000
! * E: -28.53 eV/cell
! * symmetry: No. 216

2.
! OsSeS3Cl4, relaxed, DFT PBE; values from VASP
&SYSTEM
  ibrav = 0, nat = 36, ntyp = 4
/
ATOMIC_SPECIES
Os 190.23 Os.upf
Se 78.96 Se.upf
S 32.06 S.upf
Cl 35.45 Cl.upf
ATOMIC_POSITIONS angstrom
Os -0.186 0.000 2.507
Os 2.094 8.109 3.254
Os 4.325 3.416 8.262
Os 6.605 4.692 9.010
Se -0.302 5.602 1.344
Se 2.196 4.631 9.034
Se 4.223 9.323 2.482
Se 6.721 0.910 10.173
S -1.964 3.186 7.902
S 0.996 7.875 1.318
S -1.264 1.700 9.102
S 0.602 4.859 3.299
S 0.894 6.544 4.386
S 1.110 0.482 4.323
S 5.309 5.174 7.193
S 5.525 1.852 7.131
S 5.817 0.167 8.218
S 7.683 6.392 2.414
S 5.423 3.183 10.198
S 8.383 7.879 3.614
Cl -1.751 6.397 8.154
Cl 0.940 1.858 1.360
Cl -1.684 4.719 10.894
Cl 0.203 9.318 6.130
Cl 4.146 0.199 0.282
Cl 3.700 6.532 2.361
Cl 2.649 3.601 6.479
Cl 2.270 6.748 8.424
Cl 4.149 2.055 3.092
Cl 3.770 8.294 5.037
Cl 2.719 1.840 9.156
Cl 2.273 4.891 11.234
Cl 6.216 4.626 5.386
Cl 8.103 0.026 0.623
Cl 5.479 6.550 10.156
Cl 8.171 1.704 3.362
CELL_PARAMETERS angstrom
9.819 0.000 0.000
0.000 9.385 0.000
-3.400 0.000 11.516
! * energy relative to the elements, uncorrected: -7.19 kcal/mol of atoms
! * symmetry: No. 4

3.
! Li7Cd2Ga, relaxed, DFT PBE; values from VASP
&SYSTEM
  ibrav = 0, nat = 10, ntyp = 3
/
ATOMIC_SPECIES
Li 6.94 Li.upf
Cd 112.41 Cd.upf
Ga 69.72 Ga.upf
ATOMIC_POSITIONS angstrom
Li 0.000 0.000 0.000
Li 0.000 0.000 2.397
Li 0.000 0.000 4.946
Li 0.000 2.625 0.397
Li 0.000 2.625 6.424
Li 2.273 1.312 4.374
Li 2.273 1.312 8.852
Cd 0.000 0.000 7.642
Cd 0.000 2.625 3.245
Ga 2.273 1.312 1.518
CELL_PARAMETERS angstrom
4.546 0.000 0.000
-2.273 3.937 0.000
0.000 0.000 10.324
! * E: -19.51 eV/cell
! * symmetry: No. 156

4.
! ZrSiN2, relaxed, DFT PBE; values from VASP
&SYSTEM
  ibrav = 0, nat = 8, ntyp = 3
/
ATOMIC_SPECIES
Zr 91.22 Zr.upf
Si 28.09 Si.upf
N 14.01 N.upf
ATOMIC_POSITIONS angstrom
Zr 0.000 0.000 0.000
Zr 0.000 2.408 2.076
Si 2.408 0.000 2.076
Si 0.000 0.000 4.152
N 1.204 -0.789 3.114
N 1.620 1.204 1.038
N 1.204 3.197 -1.038
N 0.789 1.204 5.190
CELL_PARAMETERS angstrom
-2.408 2.408 4.152
2.408 -2.408 4.152
2.408 2.408 -4.152
! * energy relative to the elements, uncorrected: -18.05 kcal/mol of atoms
! * symmetry: No. 122

5.
! TbCuNi, relaxed, DFT PBE; values from VASP
&SYSTEM
  ibrav = 0, nat = 6, ntyp = 3
/
ATOMIC_SPECIES
Tb 158.93 Tb.upf
Cu 63.55 Cu.upf
Ni 58.69 Ni.upf
ATOMIC_POSITIONS angstrom
Tb 0.189 0.000 1.597
Tb 6.497 0.000 2.652
Cu 2.333 1.290 0.000
Cu 2.333 -1.290 0.000
Ni 2.557 0.000 3.110
Ni 4.129 0.000 1.139
CELL_PARAMETERS angstrom
4.666 -2.579 0.000
4.666 2.579 0.000
-2.646 0.000 4.249
! * E: -29.50 eV/cell
! * symmetry: No. 12

6.
! BeHgSb2, relaxed, DFT PBE; values from VASP
&SYSTEM
  ibrav = 0, nat = 4, ntyp = 3
/
ATOMIC_SPECIES
Be 9.01 Be.upf
Hg 200.59 Hg.upf
Sb 121.76 Sb.upf
ATOMIC_POSITIONS angstrom
Be 0.000 0.000 0.000
Hg 0.000 1.873 4.015
Sb 1.851 0.000 1.723
Sb 0.000 0.000 6.822
CELL_PARAMETERS angstrom
-1.851 1.873 7.497
1.851 -1.873 7.497
1.851 1.873 -7.497
! * energy above the lowest structure with this stoichiometry: 0.116 eV/atom
! * energy relative to the elements, uncorrected: 6.99 kcal/mol of atoms
! * symmetry: No. 44